Below is a relaxed structure of Na2LiV5H18O23, with properties calculated at the PBE+U level.

**Total magnetic moment**: 0.00 μB per formula unit
**Symmetry**: P-1
**Uncorrected energy**: -5.853 eV per atom

a b c (Å): 8.736 10.571 12.176
angles (deg): 105.99 101.35 98.60
Element x y z (fractional)
Na 0.003 0.250 0.307
Na 0.225 0.852 0.519
Na 0.775 0.148 0.481
Na 0.997 0.750 0.693
Li 0.000 0.206 0.065
Li 0.000 0.794 0.935
V 0.215 0.356 0.729
V 0.318 0.520 0.999
V 0.390 0.226 0.910
V 0.432 0.683 0.266
V 0.494 0.388 0.179
V 0.506 0.612 0.821
V 0.568 0.317 0.734
V 0.610 0.774 0.090
V 0.682 0.480 0.001
V 0.785 0.644 0.271
H 0.009 0.550 0.835
H 0.035 0.195 0.857
H 0.059 0.045 0.395
H 0.106 0.039 0.693
H 0.115 0.014 0.144
H 0.131 0.770 0.126
H 0.144 0.578 0.504
H 0.171 0.439 0.204
H 0.230 0.616 0.635
H 0.246 0.147 0.169
H 0.263 0.924 0.912
H 0.281 0.778 0.913
H 0.295 0.134 0.524
H 0.315 0.384 0.495
H 0.317 0.436 0.386
H 0.343 0.055 0.411
H 0.493 0.134 0.295
H 0.499 0.983 0.285
H 0.501 0.017 0.715
H 0.507 0.866 0.705
H 0.657 0.945 0.589
H 0.683 0.564 0.614
H 0.685 0.616 0.505
H 0.705 0.866 0.476
H 0.719 0.222 0.087
H 0.737 0.076 0.088
H 0.754 0.853 0.831
H 0.770 0.384 0.365
H 0.829 0.561 0.796
H 0.856 0.422 0.496
H 0.869 0.230 0.874
H 0.885 0.986 0.856
H 0.894 0.961 0.307
H 0.941 0.955 0.605
H 0.965 0.805 0.143
H 0.991 0.450 0.165
O 0.045 0.311 0.630
O 0.053 0.949 0.637
O 0.056 0.827 0.108
O 0.059 0.388 0.182
O 0.130 0.111 0.153
O 0.158 0.462 0.874
O 0.168 0.653 0.578
O 0.203 0.830 0.889
O 0.205 0.216 0.798
O 0.247 0.401 0.429
O 0.251 0.613 0.115
O 0.259 0.051 0.456
O 0.308 0.532 0.727
O 0.311 0.355 0.034
O 0.340 0.757 0.361
O 0.346 0.087 0.944
O 0.359 0.287 0.645
O 0.389 0.502 0.268
O 0.412 0.678 0.960
O 0.447 0.247 0.211
O 0.458 0.431 0.886
O 0.494 0.819 0.199
O 0.494 0.928 0.658
O 0.506 0.072 0.342
O 0.506 0.181 0.801
O 0.542 0.569 0.114
O 0.553 0.753 0.789
O 0.588 0.322 0.040
O 0.611 0.498 0.732
O 0.641 0.713 0.355
O 0.654 0.913 0.056
O 0.660 0.243 0.639
O 0.689 0.645 0.966
O 0.692 0.468 0.273
O 0.741 0.949 0.544
O 0.749 0.387 0.885
O 0.753 0.599 0.571
O 0.795 0.784 0.202
O 0.797 0.170 0.111
O 0.832 0.347 0.422
O 0.842 0.538 0.126
O 0.870 0.889 0.847
O 0.941 0.612 0.818
O 0.944 0.173 0.892
O 0.947 0.051 0.363
O 0.955 0.689 0.370